Entry 1:
Material: Ce4MnGe8
Method: DFT, PBE-GGA
State: optimized geometry

Crystal system = orthorhombic
Energy of formation from the pure elements = -0.56 eV/atom

abc: 4.0722 4.1978 16.3950
angles: 90.00 90.00 90.00
Space group Pmm2 (No. 25)
Unique sites:
Ce 0.0000 0.0000 0.0000 x1
Ce 0.0000 0.5000 0.4913 x1
Ce 0.5000 0.0000 0.7832 x1
Ce 0.5000 0.5000 0.2827 x1
Mn 0.0000 0.5000 0.7046 x1
Ge 0.0000 0.0000 0.3347 x1
Ge 0.0000 0.0000 0.6269 x1
Ge 0.0000 0.5000 0.1406 x1
Ge 0.0000 0.5000 0.8515 x1
Ge 0.5000 0.0000 0.1427 x1
Ge 0.5000 0.0000 0.4361 x1
Ge 0.5000 0.5000 0.6247 x1
Ge 0.5000 0.5000 0.9495 x1

Entry 2:
Material: Ce6MnGe2
Method: DFT, PBE-GGA
State: optimized geometry

Crystal system = hexagonal
Energy of formation from the pure elements = -0.35 eV/atom

abc: 7.7826 7.7826 4.1872
angles: 90.00 90.00 120.00
Space group P-62m (No. 189)
Unique sites:
Ce 0.0000 0.2358 0.0000 x3
Ce 0.0000 0.5731 0.5000 x3
Mn 0.0000 0.0000 0.5000 x1
Ge 0.3333 0.6667 0.0000 x2

Entry 3:
Material: CeMn2Ge2
Method: DFT, PBE-GGA
State: optimized geometry

Crystal system = tetragonal
Energy of formation from the pure elements = -0.44 eV/atom

abc: 3.9856 3.9856 10.8066
angles: 90.00 90.00 90.00
Space group I4/mmm (No. 139)
Unique sites:
Ce 0.0000 0.0000 0.0000 x2
Mn 0.0000 0.5000 0.2500 x4
Ge 0.0000 0.0000 0.3791 x4

Entry 4:
Material: Ce3MnGe5
Method: DFT, PBE-GGA
State: optimized geometry

Crystal system = hexagonal
Energy of formation from the pure elements = -0.60 eV/atom

abc: 8.6377 8.6377 5.7475
angles: 90.00 90.00 120.00
Space group P6_3/mcm (No. 193)
Unique sites:
Ce 0.0000 0.3865 0.2500 x6
Mn 0.0000 0.0000 0.0000 x2
Ge 0.0000 0.2450 0.7500 x6
Ge 0.3333 0.6667 0.0000 x4

Entry 5:
Material: Ce2Mn3Ge5
Method: DFT, PBE-GGA
State: optimized geometry

Crystal system = orthorhombic
Energy of formation from the pure elements = -0.43 eV/atom

abc: 9.8217 12.3662 5.7356
angles: 90.00 90.00 90.00
Space group Ibam (No. 72)
Unique sites:
Ce 0.2332 0.1385 0.0000 x8
Mn 0.0000 0.5000 0.2500 x4
Mn 0.0888 0.1453 0.5000 x8
Ge 0.0000 0.0000 0.2500 x4
Ge 0.0000 0.2892 0.2500 x8
Ge 0.1760 0.4098 0.0000 x8

Entry 6:
Material: Ce3Mn2Ge2N3
Method: DFT, PBE-GGA
State: optimized geometry

Crystal system = tetragonal
Formation energy from raw total energies = -0.818 eV/atom

abc: 3.6593 3.6593 24.0011
angles: 90.00 90.00 90.00
Space group I4/mmm (No. 139)
Unique sites:
Ce 0.0000 0.0000 0.0000 x2
Ce 0.0000 0.0000 0.3963 x4
Mn 0.0000 0.0000 0.1777 x4
Ge 0.0000 0.5000 0.2500 x4
N 0.0000 0.0000 0.0991 x4
N 0.0000 0.0000 0.5000 x2

Entry 7:
Material: CeMn2Ge2N
Method: DFT, PBE-GGA
State: optimized geometry

Crystal system = tetragonal
Formation energy from raw total energies = -0.537 eV/atom

abc: 4.0719 4.0719 5.3858
angles: 90.00 90.00 90.00
Space group P4/mmm (No. 123)
Unique sites:
Ce 0.0000 0.0000 0.0000 x1
Mn 0.0000 0.5000 0.5000 x2
Ge 0.5000 0.5000 0.2259 x2
N 0.0000 0.0000 0.5000 x1

Entry 8:
Material: Ce2MnGeN5
Method: DFT, PBE-GGA
State: optimized geometry

Crystal system = orthorhombic
Formation energy from raw total energies = -0.748 eV/atom

abc: 3.2448 13.6317 9.8480
angles: 90.00 90.00 90.00
Space group Cmc2_1 (No. 36)
Unique sites:
Ce 0.0000 0.1159 0.0000 x4
Ce 0.0000 0.1407 0.6191 x4
Mn 0.0000 0.2182 0.3386 x4
Ge 0.0000 0.4443 0.7720 x4
N 0.0000 0.0578 0.3702 x4
N 0.0000 0.2836 0.9695 x4
N 0.0000 0.3093 0.7043 x4
N 0.0000 0.3568 0.3236 x4
N 0.0000 0.4966 0.1030 x4

Entry 9:
Material: Ce2Mn2Ge2N
Method: DFT, PBE-GGA
State: optimized geometry

Crystal system = monoclinic
Formation energy from raw total energies = -0.730 eV/atom

abc: 10.9912 4.0086 7.0044
angles: 90.00 129.20 90.00
Space group C2/m (No. 12)
Unique sites:
Ce 0.0529 0.0000 0.2813 x4
Mn 0.1894 0.5000 0.0791 x4
Ge 0.1659 0.5000 0.7110 x4
N 0.0000 0.5000 0.0000 x2

Entry 10:
Material: CeMnNbGe2
Method: DFT, PBE-GGA
State: optimized geometry

Crystal system = tetragonal
Energy of formation from the pure elements = -0.46 eV/atom

abc: 4.0414 4.0414 11.7194
angles: 90.00 90.00 90.00
Space group I-4m2 (No. 119)
Unique sites:
Ce 0.0000 0.0000 0.0000 x2
Mn 0.0000 0.5000 0.7500 x2
Nb 0.0000 0.5000 0.2500 x2
Ge 0.0000 0.0000 0.3900 x4

no.,VASP energy (eV/cell)
1,-77.10
2,-57.11
3,-71.45
4,-110.87
5,-267.25
6,-157.07
7,-45.05
8,-296.04
9,-105.76
10,-73.38